[1]
First-principles (PBE-GGA) data for crystalline Pm3NdC at its relaxed geometry, as listed in the Alexandria database.

For the total magnetization, the calculation gives 0.000 μB per atom. The space group is Pm-3m. The calculation puts the calculated formation energy at 0.077 eV/atom.

Cell: 5.216 5.216 5.216 Å, 90.00 90.00 90.00°
Fractional positions:
Pm 0.000 0.000 0.500
Pm 0.000 0.500 0.000
Pm 0.500 0.000 0.000
Nd 0.500 0.500 0.500
C 0.000 0.000 0.000

=====

[2]
First-principles (PBE-GGA) data for crystalline PmNdC at its relaxed geometry, as listed in the Alexandria database.

For the total magnetization, the calculation gives 0.000 μB per atom. The space group is P3m1. The calculation puts the calculated formation energy at -0.120 eV/atom. The calculation puts the energy above the most stable polymorph in this dataset at 0.003 eV/atom.

Cell: 3.666 3.666 6.638 Å, 90.00 90.00 120.00°
Fractional positions:
Pm 0.000 0.000 0.000
Nd 0.333 0.667 0.576
C 0.667 0.333 0.792

=====

[3]
First-principles (PBE-GGA) data for crystalline PmNdC at its relaxed geometry, as listed in the Alexandria database.

For the total magnetization, the calculation gives 0.000 μB per atom. The space group is Pnma. The calculation puts the calculated formation energy at 0.056 eV/atom. The calculation puts the energy above the most stable polymorph in this dataset at 0.179 eV/atom.

Cell: 6.817 3.533 12.071 Å, 90.00 90.00 90.00°
Fractional positions:
Pm 0.081 0.250 0.248
Pm 0.419 0.750 0.748
Pm 0.581 0.250 0.252
Pm 0.919 0.750 0.752
Nd 0.219 0.750 0.000
Nd 0.281 0.250 0.500
Nd 0.719 0.750 0.500
Nd 0.781 0.250 0.000
C 0.078 0.250 0.867
C 0.422 0.750 0.367
C 0.578 0.250 0.633
C 0.922 0.750 0.133

=====

[4]
First-principles (PBE-GGA) data for crystalline Pm5NdC3 at its relaxed geometry, as listed in the Alexandria database.

For the total magnetization, the calculation gives 0.000 μB per atom. The space group is C2/m. The calculation puts the calculated formation energy at -0.024 eV/atom.

Cell: 7.284 7.284 9.679 Å, 111.79 111.79 75.14°
Fractional positions:
Pm 0.068 0.068 0.368
Pm 0.134 0.534 0.333
Pm 0.200 0.800 0.000
Pm 0.266 0.266 0.966
Pm 0.466 0.866 0.667
Pm 0.534 0.134 0.333
Pm 0.734 0.734 0.034
Pm 0.800 0.200 0.000
Pm 0.866 0.466 0.667
Pm 0.932 0.932 0.632
Nd 0.399 0.399 0.700
Nd 0.601 0.601 0.300
C 0.164 0.164 0.667
C 0.167 0.167 0.166
C 0.500 0.500 0.000
C 0.500 0.500 0.500
C 0.833 0.833 0.834
C 0.836 0.836 0.333

=====

[5]
First-principles (PBE-GGA) data for crystalline Pm2NdSnC at its relaxed geometry, as listed in the Alexandria database.

For the total magnetization, the calculation gives 0.000 μB per atom. The space group is P4/mmm. The calculation puts the calculated formation energy at -0.498 eV/atom.

Cell: 5.066 5.066 5.106 Å, 90.00 90.00 90.00°
Fractional positions:
Pm 0.000 0.500 0.000
Pm 0.500 0.000 0.000
Nd 0.000 0.000 0.500
Sn 0.500 0.500 0.500
C 0.000 0.000 0.000

=====

[6]
First-principles (PBE-GGA) data for crystalline PmNd2TlC at its relaxed geometry, as listed in the Alexandria database.

For the total magnetization, the calculation gives 0.000 μB per atom. The space group is P4/mmm. The calculation puts the calculated formation energy at -0.294 eV/atom.

Cell: 5.131 5.131 5.091 Å, 90.00 90.00 90.00°
Fractional positions:
Pm 0.000 0.000 0.000
Nd 0.000 0.500 0.500
Nd 0.500 0.000 0.500
Tl 0.500 0.500 0.000
C 0.000 0.000 0.500

=====

[7]
First-principles (PBE-GGA) data for crystalline Pr3NdC8 at its relaxed geometry, as listed in the Alexandria database.

For the total magnetization, the calculation gives 0.000 μB per atom. The space group is I-42m. The calculation puts the calculated formation energy at 0.178 eV/atom.

Cell: 6.516 6.516 6.516 Å, 111.50 111.50 105.49°
Fractional positions:
Pr 0.000 0.000 0.000
Pr 0.250 0.750 0.500
Pr 0.750 0.250 0.500
Nd 0.500 0.500 0.000
C 0.096 0.630 0.000
C 0.105 0.434 0.000
C 0.370 0.370 0.467
C 0.434 0.105 0.000
C 0.566 0.566 0.671
C 0.630 0.096 0.000
C 0.895 0.895 0.329
C 0.904 0.904 0.533

=====

[8]
First-principles (PBE-GGA) data for crystalline PrNdC at its relaxed geometry, as listed in the Alexandria database.

For the total magnetization, the calculation gives 0.000 μB per atom. The space group is P3m1. The calculation puts the calculated formation energy at -0.088 eV/atom.

Cell: 3.694 3.694 6.709 Å, 90.00 90.00 120.00°
Fractional positions:
Pr 0.000 0.000 0.000
Nd 0.667 0.333 0.576
C 0.333 0.667 0.784

=====

[9]
First-principles (PBE-GGA) data for crystalline PrNd3C8 at its relaxed geometry, as listed in the Alexandria database.

For the total magnetization, the calculation gives 0.000 μB per atom. The space group is I-42m. The calculation puts the calculated formation energy at 0.171 eV/atom.

Cell: 6.482 6.482 6.482 Å, 111.90 111.90 104.71°
Fractional positions:
Pr 0.000 0.000 0.000
Nd 0.250 0.750 0.500
Nd 0.500 0.500 0.000
Nd 0.750 0.250 0.500
C 0.071 0.403 0.000
C 0.127 0.127 0.535
C 0.403 0.071 0.000
C 0.407 0.873 0.000
C 0.593 0.593 0.465
C 0.597 0.597 0.668
C 0.873 0.407 0.000
C 0.929 0.929 0.332

=====

[10]
First-principles (PBE-GGA) data for crystalline Pr3NdC at its relaxed geometry, as listed in the Alexandria database.

For the total magnetization, the calculation gives 0.000 μB per atom. The space group is Pm-3m. The calculation puts the calculated formation energy at 0.123 eV/atom.

Cell: 5.297 5.297 5.297 Å, 90.00 90.00 90.00°
Fractional positions:
Pr 0.000 0.000 0.500
Pr 0.000 0.500 0.000
Pr 0.500 0.000 0.000
Nd 0.500 0.500 0.500
C 0.000 0.000 0.000

=====

[11]
First-principles (PBE-GGA) data for crystalline PrNd2C at its relaxed geometry, as listed in the Alexandria database.

For the total magnetization, the calculation gives 0.000 μB per atom. The space group is R-3m. The calculation puts the calculated formation energy at 0.027 eV/atom.

Cell: 10.404 10.404 10.404 Å, 20.22 20.22 20.22°
Fractional positions:
Pr 0.000 0.000 0.000
Nd 0.120 0.120 0.120
Nd 0.880 0.880 0.880
C 0.500 0.500 0.500

=====

[12]
First-principles (PBE-GGA) data for crystalline PrNdC at its relaxed geometry, as listed in the Alexandria database.

For the total magnetization, the calculation gives 0.000 μB per atom. The space group is Cm. The calculation puts the calculated formation energy at -0.087 eV/atom.

Cell: 3.696 3.696 6.782 Å, 96.67 96.67 60.21°
Fractional positions:
Pr 0.000 0.000 0.000
Nd 0.393 0.393 0.423
C 0.697 0.697 0.216

=====

We obtain total energy values of -27.86 -19.10 -74.30 -112.82 -29.98 -27.35 -90.77 -19.04 -90.82 -27.71 -23.43 -19.03 eV/cell for the records listed above, in that order.